Density functional theory data (PBE-GGA) for a relaxed structure of CuAsCl2.

The structure in POSCAR format:
```
CuAsCl2
1.0
0.000 3.342 3.342
3.342 0.000 3.342
3.342 3.342 0.000
Cu As Cl
1 1 2
Direct
0.000 0.000 0.000
0.500 0.500 0.500
0.250 0.250 0.250
0.750 0.750 0.750
```

Properties
Total magnetic moment ... 0.000 μB per cell
VASP energy ... -10.61 eV/cell
N(E_F) ... 2.8 states/eV/f.u.
Formation energy from raw total energies ... 457 meV per atom

---

Density functional theory data (PBE-GGA) for a relaxed structure of Ag3SeCl6.

The structure in POSCAR format:
```
Ag3SeCl6
1.0
5.771 -6.562 0.000
5.771 6.562 0.000
0.000 0.000 7.124
Ag Se Cl
6 2 12
Direct
0.058 0.331 0.552
0.103 0.897 0.500
0.331 0.058 0.052
0.669 0.942 0.552
0.897 0.103 0.000
0.942 0.669 0.052
0.281 0.719 0.996
0.719 0.281 0.496
0.057 0.608 0.360
0.115 0.195 0.259
0.195 0.115 0.759
0.327 0.673 0.702
0.392 0.943 0.360
0.430 0.570 0.129
0.570 0.430 0.629
0.608 0.057 0.860
0.673 0.327 0.202
0.805 0.885 0.259
0.885 0.805 0.759
0.943 0.392 0.860
```

Properties
Total magnetic moment ... 0.000 μB per cell
VASP energy ... -52.02 eV/cell
N(E_F) ... 6.2 states/eV/f.u.
Formation energy from raw total energies ... -289 meV per atom

---

Density functional theory data (PBE-GGA) for a relaxed structure of Tb6Hg2Au.

The structure in POSCAR format:
```
Tb6Hg2Au
1.0
6.277 0.000 0.000
0.000 8.142 0.000
-6.054 0.000 10.287
Tb Hg Au
12 4 2
Direct
0.077 0.211 0.439
0.077 0.289 0.939
0.298 0.655 0.445
0.298 0.845 0.945
0.374 0.048 0.233
0.374 0.452 0.733
0.626 0.548 0.267
0.626 0.952 0.767
0.702 0.155 0.055
0.702 0.345 0.555
0.923 0.711 0.061
0.923 0.789 0.561
0.149 0.111 0.727
0.149 0.389 0.227
0.851 0.611 0.773
0.851 0.889 0.273
0.500 0.000 0.500
0.500 0.500 0.000
```

Properties
Total magnetic moment ... 0.003 μB per cell
VASP energy ... -68.65 eV/cell
N(E_F) ... 13.1 states/eV/f.u.
Calculated formation energy ... -0.296 eV/atom

---

Density functional theory data (PBE-GGA) for a relaxed structure of HgP2WS.

The structure in POSCAR format:
```
HgP2WS
1.0
4.828 0.000 0.000
0.000 4.828 0.000
0.000 0.000 4.603
Hg P W S
1 2 1 1
Direct
0.000 0.000 0.000
0.000 0.500 0.500
0.500 0.000 0.500
0.500 0.500 0.500
0.500 0.500 0.000
```

Properties
Total magnetic moment ... 0.000 μB per cell
VASP energy ... -26.37 eV/cell
N(E_F) ... 3.0 states/eV/f.u.
Formation energy from raw total energies ... 366 meV per atom

---

Density functional theory data (PBE-GGA) for a relaxed structure of InOs2Pb.

The structure in POSCAR format:
```
InOs2Pb
1.0
3.076 0.000 0.000
0.000 4.502 0.000
-0.585 0.000 5.751
In Os Pb
1 2 1
Direct
0.000 0.000 0.000
0.344 0.500 0.194
0.656 0.500 0.806
0.500 0.000 0.500
```

Properties
Total magnetic moment ... 0.000 μB per cell
VASP energy ... -25.18 eV/cell
N(E_F) ... 2.1 states/eV/f.u.
Calculated formation energy ... 0.931 eV/atom

---

Density functional theory data (PBE-GGA) for a relaxed structure of BeTe2RhI.

The structure in POSCAR format:
```
BeTe2RhI
1.0
5.202 0.000 0.000
0.000 5.202 0.000
0.000 0.000 5.474
Be Te Rh I
1 2 1 1
Direct
0.000 0.000 0.000
0.000 0.500 0.500
0.500 0.000 0.500
0.500 0.500 0.500
0.500 0.500 0.000
```

Properties
Total magnetic moment ... 0.000 μB per cell
VASP energy ... -14.99 eV/cell
N(E_F) ... 6.7 states/eV/f.u.
Formation energy from raw total energies ... 783 meV per atom

---

Density functional theory data (PBE-GGA) for a relaxed structure of Cd2CuRe.

The structure in POSCAR format:
```
Cd2CuRe
1.0
0.000 3.250 3.250
3.250 0.000 3.250
3.250 3.250 0.000
Cd Cu Re
2 1 1
Direct
0.000 0.000 0.000
0.250 0.250 0.250
0.500 0.500 0.500
0.750 0.750 0.750
```

Properties
Total magnetic moment ... 1.715 μB per cell
VASP energy ... -15.38 eV/cell
N(E_F) ... 2.4 states/eV/f.u.
Calculated formation energy ... 0.750 eV/atom

---

Density functional theory data (PBE-GGA) for a relaxed structure of LaHoTmSe3.

The structure in POSCAR format:
```
LaHoTmSe3
1.0
8.004 0.000 0.000
0.000 4.093 0.000
-2.509 0.000 9.924
La Ho Tm Se
2 2 2 6
Direct
0.188 0.250 0.212
0.812 0.750 0.788
0.332 0.750 0.910
0.668 0.250 0.090
0.168 0.250 0.623
0.832 0.750 0.377
0.090 0.250 0.888
0.205 0.750 0.447
0.485 0.750 0.196
0.515 0.250 0.804
0.795 0.250 0.553
0.910 0.750 0.112
```

Properties
Total magnetic moment ... 0.005 μB per cell
VASP energy ... -68.73 eV/cell
N(E_F) ... 4.1 states/eV/f.u.
Formation energy from raw total energies ... -1656 meV per atom

---

Density functional theory data (PBE-GGA) for a relaxed structure of NdGa2Pd5Au.

The structure in POSCAR format:
```
NdGa2Pd5Au
1.0
4.140 0.000 0.000
0.000 4.140 0.000
0.000 0.000 9.481
Nd Ga Pd Au
1 2 5 1
Direct
0.000 0.000 0.000
0.500 0.500 0.373
0.500 0.500 0.627
0.000 0.500 0.229
0.000 0.500 0.771
0.500 0.000 0.229
0.500 0.000 0.771
0.500 0.500 0.000
0.000 0.000 0.500
```

Properties
Total magnetic moment ... 0.000 μB per cell
VASP energy ... -44.57 eV/cell
N(E_F) ... 1.4 states/eV/f.u.
Calculated formation energy ... -0.501 eV/atom

---

Density functional theory data (PBE-GGA) for a relaxed structure of HgAs2WBr.

The structure in POSCAR format:
```
HgAs2WBr
1.0
5.151 0.000 0.000
0.000 5.151 0.000
0.000 0.000 5.350
Hg As W Br
1 2 1 1
Direct
0.000 0.000 0.000
0.000 0.500 0.000
0.500 0.000 0.000
0.500 0.500 0.500
0.000 0.000 0.500
```

Properties
Total magnetic moment ... 2.984 μB per cell
VASP energy ... -15.31 eV/cell
N(E_F) ... 4.7 states/eV/f.u.
Formation energy from raw total energies ... 1783 meV per atom

---

Density functional theory data (PBE-GGA) for a relaxed structure of MoIrCl2.

The structure in POSCAR format:
```
MoIrCl2
1.0
1.462 0.844 9.872
-1.462 0.844 9.872
0.000 -1.689 9.872
Mo Ir Cl
1 1 2
Direct
0.000 0.000 0.000
0.500 0.500 0.500
0.273 0.273 0.273
0.727 0.727 0.727
```

Properties
Total magnetic moment ... 0.555 μB per cell
VASP energy ... -21.63 eV/cell
N(E_F) ... 3.5 states/eV/f.u.
Formation energy from raw total energies ... 438 meV per atom

---

Density functional theory data (PBE-GGA) for a relaxed structure of MgRh.

The structure in POSCAR format:
```
MgRh
1.0
4.400 0.000 0.000
-2.200 3.811 0.000
0.000 0.000 5.082
Mg Rh
2 2
Direct
0.333 0.667 0.250
0.667 0.333 0.750
0.333 0.667 0.750
0.667 0.333 0.250
```

Properties
Total magnetic moment ... 0.027 μB per cell
VASP energy ... -15.99 eV/cell
N(E_F) ... 3.0 states/eV/f.u.
Calculated formation energy ... 0.476 eV/atom